A plane-wave DFT calculation with PBE was carried out for a relaxed SrHoF4 crystal.

```
data_SrHoF4
_chemical_formula_sum 'Sr2 Ho2 F8'
_cell_length_a 6.701
_cell_length_b 6.701
_cell_length_c 6.701
_cell_angle_alpha 110.57
_cell_angle_beta 110.57
_cell_angle_gamma 107.30
_symmetry_space_group_name_H-M 'P 1'
_symmetry_Int_Tables_number 1
loop_
_symmetry_equiv_pos_as_xyz
'x,y,z'
loop_
_atom_site_label
_atom_site_fract_x
_atom_site_fract_y
_atom_site_fract_z
_atom_site_occupancy
Sr1 0.261 0.261 0.000 1
Sr2 0.011 0.511 0.500 1
Ho1 0.502 0.002 0.500 1
Ho2 0.752 0.752 0.000 1
F1 0.290 0.972 0.682 1
F2 0.703 0.409 0.706 1
F3 0.747 0.953 0.794 1
F4 0.722 0.540 0.182 1
F5 0.359 0.540 0.818 1
F6 0.159 0.953 0.206 1
F7 0.290 0.609 0.318 1
F8 0.703 0.997 0.294 1
```

Energy (eV per atom): -5.867
SG: No. 109
Size of the total moment (μB per atom): 0.000
Crystal system: tetragonal
Formation energy (no corrections) (kJ/mol of formula units): -2070
V (Å³/cell): 231.4



A plane-wave DFT calculation with PBE was carried out for a relaxed TbHo2F11 crystal.

```
data_TbHo2F11
_chemical_formula_sum 'Tb2 Ho4 F22'
_cell_length_a 8.330
_cell_length_b 8.626
_cell_length_c 8.626
_cell_angle_alpha 72.49
_cell_angle_beta 61.13
_cell_angle_gamma 61.13
_symmetry_space_group_name_H-M 'P 1'
_symmetry_Int_Tables_number 1
loop_
_symmetry_equiv_pos_as_xyz
'x,y,z'
loop_
_atom_site_label
_atom_site_fract_x
_atom_site_fract_y
_atom_site_fract_z
_atom_site_occupancy
Ho1 0.159 0.811 0.189 1
Ho2 0.659 0.689 0.311 1
Ho3 0.841 0.189 0.811 1
Ho4 0.341 0.311 0.689 1
F1 0.841 0.943 0.790 1
F2 0.891 0.805 0.195 1
F3 0.960 0.814 0.471 1
F4 0.255 0.314 0.971 1
F5 0.074 0.557 0.710 1
F6 0.540 0.029 0.686 1
F7 0.745 0.686 0.029 1
F8 0.755 0.471 0.814 1
F9 0.391 0.695 0.305 1
F10 0.109 0.195 0.805 1
F11 0.926 0.443 0.290 1
F12 0.040 0.186 0.529 1
F13 0.659 0.710 0.557 1
F14 0.460 0.971 0.314 1
F15 0.159 0.057 0.210 1
F16 0.426 0.790 0.943 1
F17 0.000 0.000 0.000 1
F18 0.574 0.210 0.057 1
F19 0.341 0.290 0.443 1
F20 0.609 0.305 0.695 1
F21 0.245 0.529 0.186 1
F22 0.500 0.500 0.500 1
Tb1 0.750 0.750 0.750 1
Tb2 0.250 0.250 0.250 1
```

Energy (eV per atom): -5.919
SG: No. 72
Size of the total moment (μB per atom): 0.150
Crystal system: orthorhombic
Formation energy (no corrections) (kJ/mol of formula units): -4679
V (Å³/cell): 473.4



A plane-wave DFT calculation with PBE was carried out for a relaxed TbHoF crystal.

```
data_TbHoF
_chemical_formula_sum 'Tb2 Ho2 F2'
_cell_length_a 3.635
_cell_length_b 6.701
_cell_length_c 6.909
_cell_angle_alpha 114.58
_cell_angle_beta 105.25
_cell_angle_gamma 90.00
_symmetry_space_group_name_H-M 'P 1'
_symmetry_Int_Tables_number 1
loop_
_symmetry_equiv_pos_as_xyz
'x,y,z'
loop_
_atom_site_label
_atom_site_fract_x
_atom_site_fract_y
_atom_site_fract_z
_atom_site_occupancy
Ho1 0.637 0.812 0.273 1
Ho2 0.363 0.188 0.727 1
Tb1 0.884 0.741 0.767 1
Tb2 0.116 0.259 0.233 1
F1 0.319 0.486 0.637 1
F2 0.681 0.514 0.363 1
```

Energy (eV per atom): -5.355
SG: No. 12
Size of the total moment (μB per atom): 0.000
Crystal system: monoclinic
Formation energy (no corrections) (kJ/mol of formula units): -481
V (Å³/cell): 146.5